Material: CaYSc
Method: DFT, PBE
State: relaxed

Values from the calculation:
**Polymorph energy (0 for the lowest one)**: 687 meV/atom
**Magnetic moment**: 0.00 μB per atom
**Volume**: 114.8 Å³/cell
**Energy of formation from the pure elements**: 0.76 eV per atom
**Raw total energy**: -4.170 eV/atom

The structure in POSCAR format:
```
CaYSc
1.0
-1.470 5.190 0.819
-4.774 1.818 -1.916
-4.057 1.173 3.454
Y Ca Sc
1 1 1
direct
0.000 0.000 0.000
0.500 0.500 0.500
0.250 0.250 0.250
```